Entry 1:
This record from Alexandria describes crystalline CaAcTb2In4 at its relaxed geometry. The functional is PBE-GGA.

Output
density = 7.36 Mg/m³
energy of formation = -0.426 eV per atom

Unit cell a=9.601 b=9.601 c=9.601 alpha=33.14 beta=33.14 gamma=33.14
Positions (direct):
Ca (0.000, 0.000, 0.000)
Ac (0.500, 0.500, 0.500)
Tb (0.253, 0.253, 0.253)
Tb (0.747, 0.747, 0.747)
In (0.122, 0.122, 0.122)
In (0.372, 0.372, 0.372)
In (0.628, 0.628, 0.628)
In (0.878, 0.878, 0.878)

=====

Entry 2:
This record from Alexandria describes crystalline Na2Zn4Sn3Hg at its relaxed geometry. The functional is PBE-GGA.

Output
density = 6.06 Mg/m³
energy of formation = -0.051 eV per atom

Unit cell a=4.424 b=4.424 c=12.108 alpha=90.00 beta=90.00 gamma=90.00
Positions (direct):
Na (0.000, 0.500, 0.249)
Na (0.500, 0.000, 0.751)
Zn (0.000, 0.000, 0.000)
Zn (0.000, 0.500, 0.646)
Zn (0.500, 0.000, 0.354)
Zn (0.500, 0.500, 0.000)
Sn (0.000, 0.500, 0.863)
Sn (0.500, 0.000, 0.137)
Sn (0.500, 0.500, 0.500)
Hg (0.000, 0.000, 0.500)